Compound: AlSb
Source: the Alexandria database
Functional: PBEsol
Structure: relaxed

a b c (Å): 4.220 4.220 5.195
angles (deg): 90.00 90.00 96.67
Fractional coordinates of all 4 atoms:
Sb 0.816 0.184 0.250
Sb 0.184 0.816 0.750
Al 0.629 0.371 0.750
Al 0.371 0.629 0.250

Output
crystal system	orthorhombic
formation energy (no corrections)	0.0	eV/f.u.
theoretical density	5.38	g/cm³
D(E_F)	1.30	states/eV per cell



Compound: Y2SbIr
Source: the Alexandria database
Functional: PBEsol
Structure: relaxed

a b c (Å): 4.005 4.241 5.854
angles (deg): 90.00 110.00 90.00
Fractional coordinates of all 4 atoms:
Sb 0.544 0.500 0.087
Y 0.968 0.000 0.937
Ir 0.712 0.000 0.424
Y 0.259 0.500 0.519

Output
crystal system	orthorhombic
formation energy (no corrections)	-3.6	eV/f.u.
theoretical density	8.74	g/cm³
D(E_F)	2.08	states/eV per cell



Compound: SbOs2
Source: the Alexandria database
Functional: PBEsol
Structure: relaxed

a b c (Å): 5.146 5.428 5.146
angles (deg): 118.29 90.00 118.29
Fractional coordinates of all 6 atoms:
Os 0.174 0.000 0.326
Os 0.826 0.000 0.674
Os 0.674 0.000 0.174
Sb 0.250 0.500 0.250
Sb 0.750 0.500 0.750
Os 0.326 0.000 0.826

Output
crystal system	tetragonal
formation energy (no corrections)	2.0	eV/f.u.
theoretical density	15.64	g/cm³
D(E_F)	5.10	states/eV per cell



Compound: CaAlIr3
Source: the Alexandria database
Functional: PBEsol
Structure: relaxed

a b c (Å): 4.650 4.650 4.650
angles (deg): 90.00 90.00 90.00
Fractional coordinates of all 5 atoms:
Ir 0.500 0.000 0.000
Ir 0.000 0.500 0.000
Al 0.500 0.500 0.500
Ca 0.000 0.000 0.000
Ir 0.000 0.000 0.500

Output
crystal system	cubic
theoretical density	10.63	g/cm³
formation enthalpy at 0 K	2.253	eV per atom
D(E_F)	9.50	states/eV per cell



Compound: KCdIn
Source: the Alexandria database
Functional: PBEsol
Structure: relaxed

a b c (Å): 3.916 3.916 6.742
angles (deg): 106.88 106.88 90.00
Fractional coordinates of all 3 atoms:
Cd 0.038 0.038 0.076
K 0.333 0.333 0.666
In 0.629 0.629 0.258

Output
crystal system	tetragonal
theoretical density	4.69	g/cm³
energy above the most stable polymorph in this dataset	91	meV per atom
formation enthalpy at 0 K	-0.015	eV per atom
D(E_F)	1.13	states/eV per cell



Compound: LiCaIn2
Source: the Alexandria database
Functional: PBEsol
Structure: relaxed

a b c (Å): 3.986 5.057 5.904
angles (deg): 115.36 109.73 90.00
Fractional coordinates of all 4 atoms:
In 0.743 0.243 0.485
In 0.015 0.015 0.031
Li 0.486 0.486 0.971
Ca 0.257 0.757 0.513

Output
crystal system	orthorhombic
theoretical density	4.60	g/cm³
formation enthalpy at 0 K	-0.290	eV per atom
D(E_F)	1.71	states/eV per cell



Compound: La2CdOs
Source: the Alexandria database
Functional: PBEsol
Structure: relaxed

a b c (Å): 4.147 4.147 8.267
angles (deg): 75.47 75.47 60.00
Fractional coordinates of all 4 atoms:
Cd 0.000 0.000 0.000
La 0.230 0.230 0.311
Os 0.500 0.500 0.500
La 0.770 0.770 0.689

Output
crystal system	trigonal
theoretical density	8.18	g/cm³
formation enthalpy at 0 K	-0.013	eV per atom
D(E_F)	2.27	states/eV per cell



Compound: Y3HgO
Source: the Alexandria database
Functional: PBEsol
Structure: relaxed

a b c (Å): 4.696 4.696 4.696
angles (deg): 90.00 90.00 90.00
Fractional coordinates of all 5 atoms:
Y 0.000 0.000 0.500
Y 0.000 0.500 0.000
Hg 0.500 0.500 0.500
O 0.000 0.000 0.000
Y 0.500 0.000 0.000

Output
crystal system	cubic
formation energy (no corrections)	-7.6	eV/f.u.
theoretical density	7.75	g/cm³
D(E_F)	1.87	states/eV per cell



Compound: CsRb2TlCd
Source: the Alexandria database
Functional: PBEsol
Structure: relaxed

a b c (Å): 6.558 7.832 7.832
angles (deg): 90.00 90.00 90.00
Site moments in Bohr magnetons follow the coordinates.
Fractional coordinates of all 5 atoms:
Cs 0.000 0.000 0.000  0.04
Tl 0.500 0.000 0.000  0.17
Rb 0.000 0.000 0.500  0.00
Cd 0.500 0.500 0.500  0.01
Rb 0.000 0.500 0.000  0.00

Output
crystal system	tetragonal
theoretical density	2.56	g/cm³
formation enthalpy at 0 K	0.589	eV per atom
D(E_F)	5.56	states/eV per cell



Compound: La2Ta
Source: the Alexandria database
Functional: PBEsol
Structure: relaxed

a b c (Å): 3.073 5.350 5.350
angles (deg): 120.00 90.00 90.00
Fractional coordinates of all 3 atoms:
La 0.000 0.667 0.333
Ta 0.500 0.000 0.000
La 0.000 0.333 0.667

Output
crystal system	hexagonal
theoretical density	10.00	g/cm³
energy above the most stable polymorph in this dataset	112	meV per atom
formation enthalpy at 0 K	0.494	eV per atom
D(E_F)	6.09	states/eV per cell



Compound: YTe2Pd2
Source: the Alexandria database
Functional: PBEsol
Structure: relaxed

a b c (Å): 5.137 5.641 5.137
angles (deg): 62.92 90.00 117.08
Fractional coordinates of all 5 atoms:
Y 0.000 0.000 0.000
Te 0.750 0.500 0.750
Pd 0.344 0.687 0.656
Te 0.250 0.500 0.250
Pd 0.656 0.313 0.344

Output
crystal system	tetragonal
formation energy (no corrections)	-3.0	eV/f.u.
theoretical density	8.12	g/cm³
energy above the most stable polymorph in this dataset	88	meV per atom
D(E_F)	2.60	states/eV per cell



Compound: LaScPPt2
Source: the Alexandria database
Functional: PBEsol
Structure: relaxed

a b c (Å): 4.554 4.554 5.198
angles (deg): 90.00 90.00 90.00
Fractional coordinates of all 5 atoms:
Pt 0.500 0.000 0.000
Sc 0.500 0.500 0.500
Pt 0.000 0.500 0.000
P 0.000 0.000 0.000
La 0.000 0.000 0.500

Output
crystal system	tetragonal
theoretical density	9.32	g/cm³
formation enthalpy at 0 K	-0.263	eV per atom
D(E_F)	5.64	states/eV per cell



Compound: Ca2CuCl
Source: the Alexandria database
Functional: PBEsol
Structure: relaxed

a b c (Å): 3.342 5.176 5.176
angles (deg): 89.88 89.83 89.83
Fractional coordinates of all 4 atoms:
Ca 0.000 0.000 0.500
Cu 0.500 0.500 0.500
Ca 0.000 0.500 0.000
Cl 0.500 0.000 0.000

Output
crystal system	monoclinic
formation energy (no corrections)	-2.6	eV/f.u.
theoretical density	3.32	g/cm³
energy above the most stable polymorph in this dataset	147	meV per atom
D(E_F)	3.14	states/eV per cell



Compound: ScAl
Source: the Alexandria database
Functional: PBEsol
Structure: relaxed

a b c (Å): 3.197 3.197 4.921
angles (deg): 71.05 71.05 60.00
Fractional coordinates of all 2 atoms:
Al 0.000 0.000 0.000
Sc 0.500 0.500 0.500

Output
crystal system	trigonal
theoretical density	2.96	g/cm³
formation enthalpy at 0 K	-0.223	eV per atom
D(E_F)	1.58	states/eV per cell



Compound: CdBi2Ir2
Source: the Alexandria database
Functional: PBEsol
Structure: relaxed

a b c (Å): 4.477 4.477 6.593
angles (deg): 109.85 109.85 90.00
Fractional coordinates of all 5 atoms:
Bi 0.250 0.750 0.500
Ir 0.395 0.395 0.791
Ir 0.605 0.605 0.209
Bi 0.750 0.250 0.500
Cd 0.000 0.000 0.000

Output
crystal system	tetragonal
theoretical density	13.10	g/cm³
formation enthalpy at 0 K	0.523	eV per atom
D(E_F)	3.37	states/eV per cell



Compound: InAgW
Source: the Alexandria database
Functional: PBEsol
Structure: relaxed

a b c (Å): 2.823 4.625 4.625
angles (deg): 120.00 90.00 90.00
Fractional coordinates of all 3 atoms:
W 0.333 0.667 0.333
In 0.834 0.333 0.667
Ag 0.833 0.000 0.000

Output
crystal system	hexagonal
theoretical density	12.91	g/cm³
energy above the most stable polymorph in this dataset	217	meV per atom
formation enthalpy at 0 K	0.692	eV per atom
D(E_F)	3.10	states/eV per cell



Compound: KRuO4
Source: the Alexandria database
Functional: PBEsol
Structure: relaxed

a b c (Å): 5.635 5.635 7.444
angles (deg): 112.24 112.24 90.00
Site moments in Bohr magnetons follow the coordinates.
Fractional coordinates of all 12 atoms:
O 0.396 0.552 0.345  0.09
Ru 0.000 0.000 0.000  0.52
O 0.854 0.198 0.155  0.09
O 0.207 0.604 0.655  0.09
Ru 0.250 0.750 0.500  0.52
K 0.750 0.250 0.500  0.01
O 0.043 0.146 0.845  0.09
O 0.949 0.793 0.345  0.09
O 0.301 0.957 0.155  0.09
O 0.802 0.699 0.845  0.09
O 0.448 0.051 0.655  0.09
K 0.500 0.500 0.000  0.01

Output
crystal system	tetragonal
formation energy (no corrections)	-6.6	eV/f.u.
theoretical density	3.40	g/cm³
D(E_F)	8.43	states/eV per cell



Compound: LiAgF2
Source: the Alexandria database
Functional: PBEsol
Structure: relaxed

a b c (Å): 2.853 4.807 13.129
angles (deg): 90.00 90.00 90.00
Fractional coordinates of all 16 atoms:
Ag 0.750 0.802 0.943
F 0.250 0.677 0.093
F 0.250 0.874 0.795
Li 0.250 0.275 0.801
F 0.250 0.823 0.593
F 0.750 0.126 0.205
Li 0.250 0.225 0.301
F 0.750 0.177 0.407
F 0.750 0.374 0.705
Ag 0.250 0.198 0.057
F 0.750 0.323 0.907
Li 0.750 0.775 0.699
Ag 0.250 0.302 0.557
Ag 0.750 0.698 0.443
F 0.250 0.626 0.295
Li 0.750 0.725 0.199

Output
crystal system	orthorhombic
formation energy (no corrections)	-7.6	eV/f.u.
theoretical density	5.64	g/cm³
energy above the most stable polymorph in this dataset	41	meV per atom



Compound: TaAgW2
Source: the Alexandria database
Functional: PBEsol
Structure: relaxed

a b c (Å): 3.906 3.906 4.240
angles (deg): 90.00 90.00 90.00
Fractional coordinates of all 4 atoms:
W 0.500 0.000 0.000
Ta 0.000 0.000 0.500
Ag 0.500 0.500 0.500
W 0.000 0.500 0.000

Output
crystal system	tetragonal
theoretical density	16.86	g/cm³
energy above the most stable polymorph in this dataset	52	meV per atom
formation enthalpy at 0 K	0.395	eV per atom
D(E_F)	2.88	states/eV per cell



Compound: MgBiN2
Source: the Alexandria database
Functional: PBEsol
Structure: relaxed

a b c (Å): 4.182 4.182 4.182
angles (deg): 60.00 60.00 60.00
Site moments in Bohr magnetons follow the coordinates.
Fractional coordinates of all 4 atoms:
N 0.750 0.750 0.750  0.29
Bi 0.500 0.500 0.500  -0.03
Mg 0.000 0.000 0.000  -0.01
N 0.250 0.250 0.250  0.29

Output
crystal system	cubic
formation energy (no corrections)	3.0	eV/f.u.
theoretical density	8.39	g/cm³
D(E_F)	2.66	states/eV per cell



Compound: CaY2Cl
Source: the Alexandria database
Functional: PBEsol
Structure: relaxed

a b c (Å): 3.437 6.110 6.513
angles (deg): 117.97 105.30 90.00
Fractional coordinates of all 4 atoms:
Y 0.265 0.765 0.530
Cl 0.742 0.242 0.485
Ca 0.453 0.453 0.907
Y 0.039 0.039 0.079

Output
crystal system	orthorhombic
formation energy (no corrections)	-1.9	eV/f.u.
theoretical density	3.65	g/cm³
energy above the most stable polymorph in this dataset	0	meV per atom
D(E_F)	4.02	states/eV per cell



Compound: BaCd2Hg
Source: the Alexandria database
Functional: PBEsol
Structure: relaxed

a b c (Å): 5.374 5.368 5.368
angles (deg): 59.77 59.96 59.96
Fractional coordinates of all 4 atoms:
Hg 0.501 0.499 0.499
Ba 0.250 0.250 0.250
Cd 0.999 0.001 0.001
Cd 0.750 0.750 0.750

Output
crystal system	orthorhombic
theoretical density	8.55	g/cm³
formation enthalpy at 0 K	-0.292	eV per atom
D(E_F)	2.78	states/eV per cell



Compound: KTaSb
Source: the Alexandria database
Functional: PBEsol
Structure: relaxed

a b c (Å): 3.007 5.228 5.228
angles (deg): 120.00 90.00 90.00
Fractional coordinates of all 3 atoms:
K 0.000 0.000 0.000
Ta 0.500 0.667 0.333
Sb 0.500 0.333 0.667

Output
crystal system	hexagonal
formation energy (no corrections)	2.5	eV/f.u.
theoretical density	7.98	g/cm³
energy above the most stable polymorph in this dataset	325	meV per atom
D(E_F)	2.37	states/eV per cell



Compound: TaW
Source: the Alexandria database
Functional: PBEsol
Structure: relaxed

a b c (Å): 3.195 4.515 5.347
angles (deg): 114.98 107.39 90.00
Fractional coordinates of all 4 atoms:
W 0.130 0.380 0.259
Ta 0.621 0.871 0.241
W 0.870 0.620 0.741
Ta 0.379 0.129 0.759

Output
crystal system	orthorhombic
theoretical density	18.35	g/cm³
formation enthalpy at 0 K	-0.102	eV per atom
D(E_F)	2.84	states/eV per cell



Compound: TlCd2W
Source: the Alexandria database
Functional: PBEsol
Structure: relaxed

a b c (Å): 4.862 4.862 4.862
angles (deg): 60.00 60.00 60.00
Site moments in Bohr magnetons follow the coordinates.
Fractional coordinates of all 4 atoms:
W 0.500 0.500 0.500  1.54
Cd 0.250 0.250 0.250  0.00
Cd 0.750 0.750 0.750  0.00
Tl 0.000 0.000 0.000  -0.01

Output
crystal system	cubic
theoretical density	12.53	g/cm³
energy above the most stable polymorph in this dataset	564	meV per atom
formation enthalpy at 0 K	1.071	eV per atom
D(E_F)	3.24	states/eV per cell



Compound: Ca7TlN4
Source: the Alexandria database
Functional: PBEsol
Structure: relaxed

a b c (Å): 3.561 11.558 11.965
angles (deg): 90.00 90.00 90.00
Fractional coordinates of all 24 atoms:
Tl 0.502 0.000 0.500
Ca 0.000 0.022 0.234
Ca 0.000 0.733 0.430
N 0.500 0.642 0.332
N 0.500 0.858 0.832
Ca 0.500 0.500 0.500
N 0.500 0.142 0.168
Ca 0.000 0.233 0.070
Ca 0.500 0.000 0.000
Ca 0.500 0.735 0.672
N 0.000 0.871 0.101
N 0.000 0.371 0.399
Ca 0.000 0.978 0.766
Tl 0.498 0.500 0.000
Ca 0.500 0.235 0.828
N 0.000 0.629 0.601
N 0.500 0.358 0.668
N 0.000 0.129 0.899
Ca 0.000 0.478 0.734
Ca 0.000 0.522 0.266
Ca 0.500 0.265 0.328
Ca 0.500 0.765 0.172
Ca 0.000 0.767 0.930
Ca 0.000 0.267 0.570

Output
crystal system	orthorhombic
formation energy (no corrections)	-10.3	eV/f.u.
theoretical density	3.65	g/cm³
D(E_F)	5.65	states/eV per cell